No. 1
VASP calculation (PBEsol) on Li2VSi6O15 after structural relaxation.

abc: 6.9520 7.0627 7.3239
angles: 91.07 113.93 113.54
Space group P-1 (No. 2)
One atom of each set of equivalent atoms:
Li1 0.2281 0.2842 0.4167 [2 per cell]
V1 0.0000 0.5000 0.5000 [1 per cell]
Si1 0.1116 0.3058 0.9043 [2 per cell]
Si2 0.2866 0.0025 0.7974 [2 per cell]
Si3 0.3282 0.6573 0.2690 [2 per cell]
O1 0.0889 0.7827 0.6414 [2 per cell]
O2 0.1432 0.0950 0.8736 [2 per cell]
O3 0.1573 0.7582 0.1327 [2 per cell]
O4 0.1591 0.4486 0.7440 [2 per cell]
O5 0.2841 0.4373 0.1404 [2 per cell]
O6 0.2955 0.5927 0.4672 [2 per cell]
O7 0.3998 0.1690 0.6685 [2 per cell]
O8 0.5000 0.0000 0.0000 [1 per cell]

## Properties
E_tot	-7.91	eV per atom
energy relative to the lowest polymorph listed for this composition	91	kJ/mol of formula units
total moment	0.042	μB/atom
energy relative to the elements, uncorrected	-2.62	eV per atom


No. 2
VASP calculation (PBEsol) on LiV2Si2O8 after structural relaxation.

abc: 4.7584 10.0037 5.6492
angles: 90.00 90.09 90.00
Space group P2_1 (No. 4)
One atom of each set of equivalent atoms:
Li1 0.2498 0.0000 0.2492 [2 per cell]
V1 0.2468 0.7334 0.9924 [2 per cell]
V2 0.2532 0.2656 0.5077 [2 per cell]
Si1 0.1964 0.4059 0.0073 [2 per cell]
Si2 0.3037 0.5930 0.4927 [2 per cell]
O1 0.0305 0.3251 0.7865 [2 per cell]
O2 0.0328 0.1071 0.4958 [2 per cell]
O3 0.0405 0.3171 0.2198 [2 per cell]
O4 0.0872 0.5591 0.9977 [2 per cell]
O5 0.4127 0.4397 0.5022 [2 per cell]
O6 0.4595 0.6818 0.2802 [2 per cell]
O7 0.4670 0.8919 0.0041 [2 per cell]
O8 0.4697 0.6737 0.7136 [2 per cell]

## Properties
E_tot	-8.21	eV per atom
energy relative to the lowest polymorph listed for this composition	0	kJ/mol of formula units
total moment	0.231	μB/atom
energy relative to the elements, uncorrected	-2.46	eV per atom


No. 3
VASP calculation (PBEsol) on LiVSiO4 after structural relaxation.

abc: 7.1908 7.1908 7.1908
angles: 90.00 90.00 90.00
Space group P2_13 (No. 198)
One atom of each set of equivalent atoms:
Li1 0.2503 0.2503 0.2503 [4 per cell]
V1 0.1938 0.3062 0.6938 [4 per cell]
Si1 0.0309 0.9691 0.4691 [4 per cell]
O1 0.0268 0.8838 0.6815 [12 per cell]
O2 0.1601 0.8399 0.3399 [4 per cell]

## Properties
E_tot	-7.81	eV per atom
energy relative to the lowest polymorph listed for this composition	91	kJ/mol of formula units
total moment	0.286	μB/atom
energy relative to the elements, uncorrected	-2.33	eV per atom